Entry 1:
Computed, not measured: crystalline LaNiBr2 at its relaxed geometry at the PBE-GGA level of DFT.

Computed properties:
Crystal system: tetragonal
Volume (Å³ per cell): 185.0
E above lowest polymorph (meV/atom): 270
Formation energy from raw total energies (eV per atom): -0.65

The structure in CIF format:
```
data_LaNiBr2
_cell_length_a 4.3460
_cell_length_b 4.3460
_cell_length_c 9.7931
_cell_angle_alpha 90.00
_cell_angle_beta 90.00
_cell_angle_gamma 90.00
_symmetry_space_group_name_H-M 'I -4 m 2'
_symmetry_Int_Tables_number 119
_symmetry_space_group_name_Hall 'I -4 -2'
loop_
_atom_site_label
_atom_site_fract_x
_atom_site_fract_y
_atom_site_fract_z
La1 0.0000 0.0000 0.0000
Ni1 0.0000 0.5000 0.7500
Br1 0.0000 0.0000 0.5000
Br2 0.0000 0.5000 0.2500
```


Entry 2:
Computed, not measured: crystalline MgNiMo3 at its relaxed geometry at the PBE-GGA level of DFT.

Computed properties:
Crystal system: cubic
Volume (Å³ per cell): 92.8
Calculated formation energy (eV/atom): 1.20
E above lowest polymorph (meV/atom): 0

The structure in CIF format:
```
data_MgNiMo3
_cell_length_a 4.5273
_cell_length_b 4.5273
_cell_length_c 4.5273
_cell_angle_alpha 90.00
_cell_angle_beta 90.00
_cell_angle_gamma 90.00
_symmetry_space_group_name_H-M 'P m -3 m'
_symmetry_Int_Tables_number 221
_symmetry_space_group_name_Hall '-P 4 2 3'
loop_
_atom_site_label
_atom_site_fract_x
_atom_site_fract_y
_atom_site_fract_z
Mg1 0.0000 0.0000 0.0000
Ni1 0.5000 0.5000 0.5000
Mo1 0.0000 0.5000 0.5000
```


Entry 3:
Computed, not measured: crystalline PaGe2Ru at its relaxed geometry at the PBE-GGA level of DFT.

Computed properties:
Crystal system: trigonal
Volume (Å³ per cell): 231.9
Calculated formation energy (eV/atom): 0.04

The structure in CIF format:
```
data_PaGe2Ru
_cell_length_a 3.0260
_cell_length_b 3.0260
_cell_length_c 29.2465
_cell_angle_alpha 90.00
_cell_angle_beta 90.00
_cell_angle_gamma 120.00
_symmetry_space_group_name_H-M 'R -3 m'
_symmetry_Int_Tables_number 166
_symmetry_space_group_name_Hall '-R 3 2"'
loop_
_atom_site_label
_atom_site_fract_x
_atom_site_fract_y
_atom_site_fract_z
Pa1 0.0000 0.0000 0.0000
Ge1 0.0000 0.0000 0.1022
Ru1 0.0000 0.0000 0.5000
```


Entry 4:
Computed, not measured: crystalline TiMnVCo at its relaxed geometry at the PBE-GGA level of DFT.

Computed properties:
Crystal system: tetragonal
Volume (Å³ per cell): 50.1
Calculated formation energy (eV/atom): -0.27

The structure in CIF format:
```
data_TiMnVCo
_cell_length_a 2.9315
_cell_length_b 2.9315
_cell_length_c 5.8278
_cell_angle_alpha 90.00
_cell_angle_beta 90.00
_cell_angle_gamma 90.00
_symmetry_space_group_name_H-M 'P 4 m m'
_symmetry_Int_Tables_number 99
_symmetry_space_group_name_Hall 'P 4 -2'
loop_
_atom_site_label
_atom_site_fract_x
_atom_site_fract_y
_atom_site_fract_z
Ti1 0.0000 0.0000 0.0000
Mn1 0.5000 0.5000 0.2595
V1 0.0000 0.0000 0.4903
Co1 0.5000 0.5000 0.7416
```